VASP calculation (PBE) on crystalline LaNiOs2 at its relaxed geometry.

a = 9.7677 Å, b = 9.7677 Å, c = 9.7677 Å
α = 16.59°, β = 16.59°, γ = 16.59°
Last column: nearest neighbours and their distance in Å.
Atoms (fractional coordinates):
Ni1 0.7500 0.7500 0.7500  6 Os 2.57, 6 Ni 2.82
Os1 0.0143 0.0143 0.0143  3 Ni 2.57, 6 Os 2.82
Os2 0.4857 0.4857 0.4857  3 Ni 2.57, 6 Os 2.82
La1 0.2500 0.2500 0.2500  6 La 2.82

Computed properties:
**Crystal system**: trigonal
**Size of the total moment**: 0.041 μB/atom
**Energy of formation**: 687 meV/atom
**Energy relative to the lowest polymorph listed for this composition**: 767.2 meV/atom
**Calculated total energy**: -30.42 eV per cell
**D(E_F)**: 6.46 states/eV/cell

=====

VASP calculation (PBE) on crystalline Tb2MnCd at its relaxed geometry.

a = 3.5387 Å, b = 3.5387 Å, c = 7.7980 Å
α = 90.00°, β = 90.00°, γ = 90.00°
Last column: nearest neighbours and their distance in Å.
Atoms (fractional coordinates):
Tb1 0.0000 0.0000 0.2256  4 Mn 3.06, 4 Cd 3.29
Tb2 0.0000 0.0000 0.7744  4 Mn 3.06, 4 Cd 3.29
Cd1 0.5000 0.5000 0.5000  8 Tb 3.29, 4 Cd 3.54
Mn1 0.5000 0.5000 0.0000  8 Tb 3.06

Computed properties:
**Crystal system**: tetragonal
**Size of the total moment**: 0.731 μB/atom
**Energy of formation**: -69 meV/atom
**Energy relative to the lowest polymorph listed for this composition**: 0.0 meV/atom
**Calculated total energy**: -19.62 eV per cell
**D(E_F)**: 4.12 states/eV/cell

=====

VASP calculation (PBE) on crystalline BaAg6Se4 at its relaxed geometry.

a = 4.2978 Å, b = 8.2002 Å, c = 8.2002 Å
α = 120.00°, β = 90.00°, γ = 90.00°
Last column: nearest neighbours and their distance in Å.
Atoms (fractional coordinates):
Ag1 0.0000 0.9115 0.4557  5 Se 2.94-3.00, 2 Ag 3.01
Ag2 0.0000 0.5443 0.0885  5 Se 2.94-3.00, 2 Ag 3.01
Ag3 0.5000 0.2055 0.4110  4 Se 2.75-2.81
Ag4 0.5000 0.2055 0.7945  4 Se 2.75-2.81
Ag5 0.5000 0.5890 0.7945  4 Se 2.75-2.81
Ag6 0.0000 0.5443 0.4557  5 Se 2.94-3.00, 2 Ag 3.01
Se1 0.5000 0.3582 0.1791  6 Ag 2.75-2.94
Se2 0.5000 0.8209 0.1791  6 Ag 2.75-2.94
Se3 0.5000 0.8209 0.6418  6 Ag 2.75-2.94
Se4 0.0000 0.3333 0.6667  9 Ag 2.81-3.00
Ba1 0.0000 0.0000 0.0000  6 Se 3.33, 6 Ag 3.62

Computed properties:
**Crystal system**: hexagonal
**Size of the total moment**: 0.000 μB/atom
**Energy relative to the lowest polymorph listed for this composition**: 28.8 meV/atom
**Calculated total energy**: -37.05 eV per cell
**D(E_F)**: 2.82 states/eV/cell

=====

VASP calculation (PBE) on crystalline SiHg2N at its relaxed geometry.

a = 6.0704 Å, b = 6.0704 Å, c = 6.2531 Å
α = 60.96°, β = 60.96°, γ = 90.00°
Last column: nearest neighbours and their distance in Å.
Atoms (fractional coordinates):
Si1 0.0000 0.0000 0.0000  4 Hg 2.63
Si2 0.7500 0.2500 0.5000  4 Hg 2.63
Hg1 0.8750 0.8244 0.7500  2 N 2.25
Hg2 0.5744 0.1250 0.2500  2 N 2.25
Hg3 0.1756 0.6250 0.2500  2 N 2.25
Hg4 0.3750 0.4256 0.7500  2 N 2.25
N1 0.2500 0.7500 0.5000  4 Hg 2.25
N2 0.5000 0.5000 0.0000  4 Hg 2.25

Computed properties:
**Crystal system**: tetragonal
**Size of the total moment**: 0.000 μB/atom
**Energy relative to the lowest polymorph listed for this composition**: 0.0 meV/atom
**Calculated total energy**: -20.30 eV per cell
**D(E_F)**: 3.30 states/eV/cell

=====

VASP calculation (PBE) on crystalline AgB2O2 at its relaxed geometry.

a = 9.3409 Å, b = 9.3409 Å, c = 2.4238 Å
α = 90.00°, β = 90.00°, γ = 90.00°
Last column: nearest neighbours and their distance in Å.
Atoms (fractional coordinates):
O1 0.8811 0.6189 0.5000  2 B 1.40
O2 0.3811 0.8811 0.5000  2 B 1.40
O3 0.6189 0.1189 0.5000  2 B 1.40
O4 0.1189 0.3811 0.5000  2 B 1.40
Ag1 0.5000 0.5000 0.0000  2 Ag 2.42
Ag2 0.0000 0.0000 0.0000  2 Ag 2.42
B1 0.5658 0.0658 0.0000  2 O 1.40
B2 0.0658 0.4342 0.0000  2 O 1.40
B3 0.9342 0.5658 0.0000  2 O 1.40
B4 0.4342 0.9342 0.0000  2 O 1.40

Computed properties:
**Crystal system**: tetragonal
**Size of the total moment**: 0.000 μB/atom
**Energy relative to the lowest polymorph listed for this composition**: 0.0 meV/atom
**Calculated total energy**: -63.39 eV per cell
**D(E_F)**: 0.77 states/eV/cell

=====

VASP calculation (PBE) on crystalline CaFe2Cu at its relaxed geometry.

a = 4.1213 Å, b = 4.1213 Å, c = 5.5443 Å
α = 68.42°, β = 68.42°, γ = 59.81°
Last column: nearest neighbours and their distance in Å.
Atoms (fractional coordinates):
Fe1 0.5547 0.5547 0.3355  3 Cu 2.42, 3 Fe 2.52-2.54
Fe2 0.9453 0.9453 0.1645  3 Cu 2.42, 3 Fe 2.52-2.54
Cu1 0.2500 0.2500 0.2500  6 Fe 2.42
Ca1 0.7500 0.7500 0.7500  8 Fe 2.94-3.16

Computed properties:
**Crystal system**: monoclinic
**Size of the total moment**: 1.205 μB/atom
**Energy of formation**: 314 meV/atom
**Calculated total energy**: -21.77 eV per cell
**D(E_F)**: 2.23 states/eV/cell

=====

VASP calculation (PBE) on crystalline NaGaOs2 at its relaxed geometry.

a = 4.0598 Å, b = 4.0598 Å, c = 9.8448 Å
α = 78.10°, β = 78.10°, γ = 90.00°
Last column: nearest neighbours and their distance in Å.
Atoms (fractional coordinates):
Na1 0.5000 0.5000 0.0000  4 Ga 2.87, 4 Os 2.94
Na2 0.2500 0.7500 0.5000  4 Ga 2.87, 4 Os 2.94
Ga1 0.7500 0.2500 0.5000  4 Os 2.63, 4 Na 2.87
Ga2 0.0000 0.0000 0.0000  4 Os 2.63, 4 Na 2.87
Os1 0.0216 0.6250 0.2500  2 Os 2.35, 2 Ga 2.63
Os2 0.7284 0.1250 0.2500  2 Os 2.35, 2 Ga 2.63
Os3 0.8750 0.9784 0.7500  2 Os 2.35, 2 Ga 2.63
Os4 0.3750 0.2716 0.7500  2 Os 2.35, 2 Ga 2.63

Computed properties:
**Crystal system**: tetragonal
**Size of the total moment**: 0.000 μB/atom
**Energy of formation**: 797 meV/atom
**Calculated total energy**: -47.23 eV per cell
**D(E_F)**: 5.42 states/eV/cell

=====

VASP calculation (PBE) on crystalline Li4YGe4 at its relaxed geometry.

a = 6.1012 Å, b = 6.1012 Å, c = 8.6391 Å
α = 90.00°, β = 90.00°, γ = 90.00°
Last column: nearest neighbours and their distance in Å.
Atoms (fractional coordinates):
Li1 0.7410 0.0000 0.5881  5 Ge 2.59-2.62, 2 Li 2.70
Li2 0.5000 0.7590 0.0881  5 Ge 2.59-2.62, 2 Li 2.70
Li3 0.0000 0.2590 0.4119  5 Ge 2.59-2.62, 2 Li 2.70
Li4 0.0000 0.7410 0.4119  5 Ge 2.59-2.62, 2 Li 2.70
Li5 0.2410 0.5000 0.9119  5 Ge 2.59-2.62, 2 Li 2.70
Li6 0.5000 0.2410 0.0881  5 Ge 2.59-2.62, 2 Li 2.70
Li7 0.2590 0.0000 0.5881  5 Ge 2.59-2.62, 2 Li 2.70
Li8 0.7590 0.5000 0.9119  5 Ge 2.59-2.62, 2 Li 2.70
Ge1 0.7942 0.5000 0.2121  1 Ge 2.51, 5 Li 2.59-2.62
Ge2 0.0000 0.2942 0.7121  1 Ge 2.51, 5 Li 2.59-2.62
Ge3 0.7058 0.0000 0.2879  1 Ge 2.51, 5 Li 2.59-2.62
Ge4 0.2058 0.5000 0.2121  1 Ge 2.51, 5 Li 2.59-2.62
Ge5 0.0000 0.7058 0.7121  1 Ge 2.51, 5 Li 2.59-2.62
Ge6 0.2942 0.0000 0.2879  1 Ge 2.51, 5 Li 2.59-2.62
Ge7 0.5000 0.2058 0.7879  1 Ge 2.51, 5 Li 2.59-2.62
Ge8 0.5000 0.7942 0.7879  1 Ge 2.51, 5 Li 2.59-2.62
Y1 0.0000 0.0000 0.0000  4 Ge 3.07
Y2 0.5000 0.5000 0.5000  4 Ge 3.07

Computed properties:
**Crystal system**: tetragonal
**Size of the total moment**: 0.000 μB/atom
**Energy of formation**: -344 meV/atom
**Calculated total energy**: -71.37 eV per cell
**D(E_F)**: 5.34 states/eV/cell

=====

VASP calculation (PBE) on crystalline CeGeS2 at its relaxed geometry.

a = 8.9377 Å, b = 7.0700 Å, c = 6.4607 Å
α = 90.00°, β = 90.00°, γ = 102.22°
Last column: nearest neighbours and their distance in Å.
Atoms (fractional coordinates):
Ce1 0.8404 0.2056 0.9635  6 S 2.77-2.97
Ce2 0.1596 0.2944 0.4635  6 S 2.77-2.97
Ce3 0.8404 0.7056 0.5365  6 S 2.77-2.97
Ce4 0.1596 0.7944 0.0365  6 S 2.77-2.97
S1 0.3684 0.1538 0.1721  2 Ge 2.45-2.46
S2 0.6316 0.3462 0.6721  2 Ge 2.45-2.46
S3 0.9657 0.9876 0.2514  4 Ce 2.77-2.83
S4 0.3684 0.6538 0.3279  2 Ge 2.45-2.46
S5 0.0343 0.5124 0.7514  4 Ce 2.77-2.83
S6 0.0343 0.0124 0.7486  4 Ce 2.77-2.83
S7 0.6316 0.8462 0.8279  2 Ge 2.45-2.46
S8 0.9657 0.4876 0.2486  4 Ce 2.77-2.83
Ge1 0.5901 0.1175 0.3807  2 S 2.45-2.46, 1 Ge 2.57
Ge2 0.4099 0.8825 0.6193  2 S 2.45-2.46, 1 Ge 2.57
Ge3 0.5901 0.6175 0.1193  2 S 2.45-2.46, 1 Ge 2.57
Ge4 0.4099 0.3825 0.8807  2 S 2.45-2.46, 1 Ge 2.57

Computed properties:
**Crystal system**: monoclinic
**Size of the total moment**: 0.244 μB/atom
**Energy relative to the lowest polymorph listed for this composition**: 0.0 meV/atom
**Calculated total energy**: -93.75 eV per cell
**D(E_F)**: 28.26 states/eV/cell

=====

VASP calculation (PBE) on crystalline Tl2GaTe5 at its relaxed geometry.

a = 6.5409 Å, b = 6.5412 Å, c = 9.4040 Å
α = 113.64°, β = 113.64°, γ = 81.16°
Last column: nearest neighbours and their distance in Å.
Atoms (fractional coordinates):
Te1 0.2970 0.7848 0.0807  1 Ga 2.71
Te2 0.2916 0.2916 0.0597  1 Ga 2.94, 2 Te 3.16
Te3 0.7717 0.7717 0.0617  1 Ga 3.00, 2 Te 3.17
Te4 0.7795 0.7796 0.5630  1 Ga 2.52
Te5 0.7848 0.2969 0.0807  1 Ga 2.71
Ga1 0.9437 0.9437 0.8790  3 Te 2.52-2.71
Tl1 0.2034 0.7053 0.4147  6 Te 3.47-3.67
Tl2 0.7052 0.2034 0.4147  6 Te 3.47-3.67

Computed properties:
**Crystal system**: monoclinic
**Size of the total moment**: 0.000 μB/atom
**Calculated total energy**: -24.24 eV per cell
**D(E_F)**: 1.54 states/eV/cell